1.
{"formula": "TlPdI2O", "functional": "PBE-GGA", "state": "relaxed", "cell": [[6.119, 0.000, 0.000], [0.000, 6.119, 0.000], [0.000, 0.000, 4.035]], "species": ["Tl", "Pd", "I", "I", "O"], "fractional_positions": [[0.000, 0.000, 0.000], [0.500, 0.500, 0.500], [0.000, 0.500, 0.000], [0.500, 0.000, 0.000], [0.000, 0.000, 0.500]], "e_form_raw_ev_per_atom": 0.357}


2.
{"formula": "TiReTe3", "functional": "PBE-GGA", "state": "relaxed", "cell": [[5.238, 0.000, 0.000], [0.000, 5.238, 0.000], [0.000, 0.000, 5.238]], "species": ["Ti", "Re", "Te", "Te", "Te"], "fractional_positions": [[0.000, 0.000, 0.000], [0.500, 0.500, 0.500], [0.000, 0.500, 0.500], [0.500, 0.000, 0.500], [0.500, 0.500, 0.000]], "e_form_raw_ev_per_atom": 0.991}


3.
{"formula": "CeNdY2Se4", "functional": "PBE-GGA", "state": "relaxed", "cell": [[7.154, 0.000, 0.000], [0.000, 4.110, 0.000], [-2.361, 0.000, 6.888]], "species": ["Ce", "Nd", "Y", "Y", "Se", "Se", "Se", "Se"], "fractional_positions": [[0.000, 0.000, 0.000], [0.500, 0.500, 0.000], [0.000, 0.500, 0.500], [0.500, 0.000, 0.500], [0.245, 0.000, 0.738], [0.253, 0.500, 0.262], [0.747, 0.500, 0.738], [0.755, 0.000, 0.262]], "e_form_raw_ev_per_atom": -1.806}


4.
{"formula": "NdHoCBr", "functional": "PBE-GGA", "state": "relaxed", "cell": [[1.862, 1.075, 7.305], [-1.862, 1.075, 7.305], [0.000, -2.150, 7.305]], "species": ["Nd", "Ho", "C", "Br"], "fractional_positions": [[0.000, 0.000, 0.000], [0.787, 0.787, 0.787], [0.400, 0.400, 0.400], [0.222, 0.222, 0.222]], "e_form_raw_ev_per_atom": -0.918}